Record 1
A relaxed LaNd3Ho6 crystal. Source: the Alexandria database, functional PBE.

Geometry as CIF:
```
data_LaNd3Ho6
_chemical_formula_sum 'La1 Nd3 Ho6'
_cell_length_a 9.952
_cell_length_b 9.952
_cell_length_c 6.939
_cell_angle_alpha 44.19
_cell_angle_beta 44.19
_cell_angle_gamma 60.00
_space_group_name_H-M_alt 'P 1'
_space_group_IT_number 1
loop_
_space_group_symop_operation_xyz
'x,y,z'
loop_
_atom_site_label
_atom_site_fract_x
_atom_site_fract_y
_atom_site_fract_z
_atom_site_occupancy
Ho1 0.228 0.900 0.300 1
Ho2 0.571 0.228 0.300 1
Ho3 0.725 0.075 0.800 1
Ho4 0.075 0.400 0.800 1
Ho5 0.900 0.571 0.300 1
Ho6 0.400 0.725 0.800 1
Nd1 0.650 0.650 0.050 1
Nd2 0.150 0.150 0.549 1
Nd3 0.400 0.400 0.799 1
La1 0.900 0.900 0.299 1
```

Output
Relative energy among the computed polymorphs ... 169 meV per atom
Space group ... R32
Magnetization ... 0.054 μB/f.u.

Record 2
A relaxed La8NdHo2 crystal. Source: the Alexandria database, functional PBE.

Geometry as CIF:
```
data_La8NdHo2
_chemical_formula_sum 'La8 Nd1 Ho2'
_cell_length_a 9.781
_cell_length_b 14.303
_cell_length_c 11.672
_cell_angle_alpha 26.12
_cell_angle_beta 146.90
_cell_angle_gamma 137.09
_space_group_name_H-M_alt 'P 1'
_space_group_IT_number 1
loop_
_space_group_symop_operation_xyz
'x,y,z'
loop_
_atom_site_label
_atom_site_fract_x
_atom_site_fract_y
_atom_site_fract_z
_atom_site_occupancy
La1 0.822 0.909 0.276 1
La2 0.631 0.813 0.551 1
La3 0.914 0.455 0.639 1
La4 0.725 0.361 0.912 1
La5 0.275 0.639 0.088 1
La6 0.178 0.091 0.724 1
La7 0.369 0.187 0.449 1
La8 0.086 0.545 0.361 1
Nd1 0.000 0.000 0.000 1
Ho1 0.458 0.730 0.815 1
Ho2 0.542 0.270 0.185 1
```

Output
Relative energy among the computed polymorphs ... 0 meV per atom
Space group ... P-1
Magnetization ... 0.000 μB/f.u.

Record 3
A relaxed La3Nd2Ho3 crystal. Source: the Alexandria database, functional PBE.

Geometry as CIF:
```
data_La3Nd2Ho3
_chemical_formula_sum 'La3 Nd2 Ho3'
_cell_length_a 5.898
_cell_length_b 6.114
_cell_length_c 8.820
_cell_angle_alpha 110.85
_cell_angle_beta 109.53
_cell_angle_gamma 90.00
_space_group_name_H-M_alt 'P 1'
_space_group_IT_number 1
loop_
_space_group_symop_operation_xyz
'x,y,z'
loop_
_atom_site_label
_atom_site_fract_x
_atom_site_fract_y
_atom_site_fract_z
_atom_site_occupancy
La1 0.500 0.500 0.000 1
La2 0.364 0.925 0.729 1
La3 0.636 0.075 0.271 1
Ho1 0.000 0.000 0.000 1
Ho2 0.129 0.677 0.258 1
Ho3 0.871 0.323 0.742 1
Nd1 0.751 0.683 0.501 1
Nd2 0.249 0.317 0.499 1
```

Output
Relative energy among the computed polymorphs ... 67 meV per atom
Space group ... C2/m
Magnetization ... 0.000 μB/f.u.

Record 4
A relaxed La3NdHo3 crystal. Source: the Alexandria database, functional PBE.

Geometry as CIF:
```
data_La3NdHo3
_chemical_formula_sum 'La6 Nd2 Ho6'
_cell_length_a 5.846
_cell_length_b 9.791
_cell_length_c 9.791
_cell_angle_alpha 120.00
_cell_angle_beta 90.00
_cell_angle_gamma 90.00
_space_group_name_H-M_alt 'P 1'
_space_group_IT_number 1
loop_
_space_group_symop_operation_xyz
'x,y,z'
loop_
_atom_site_label
_atom_site_fract_x
_atom_site_fract_y
_atom_site_fract_z
_atom_site_occupancy
Nd1 0.750 0.333 0.667 1
Nd2 0.250 0.667 0.333 1
Ho1 0.250 0.816 0.770 1
Ho2 0.750 0.184 0.230 1
Ho3 0.750 0.046 0.816 1
Ho4 0.250 0.230 0.046 1
Ho5 0.250 0.954 0.184 1
Ho6 0.750 0.770 0.954 1
La1 0.250 0.528 0.903 1
La2 0.250 0.376 0.472 1
La3 0.750 0.472 0.097 1
La4 0.750 0.903 0.376 1
La5 0.250 0.097 0.624 1
La6 0.750 0.624 0.528 1
```

Output
Relative energy among the computed polymorphs ... 0 meV per atom
Space group ... P6_3/m
Magnetization ... 0.000 μB/f.u.

Record 5
A relaxed La2Nd7Ho2 crystal. Source: the Alexandria database, functional PBE.

Geometry as CIF:
```
data_La2Nd7Ho2
_chemical_formula_sum 'La2 Nd7 Ho2'
_cell_length_a 9.571
_cell_length_b 7.055
_cell_length_c 7.055
_cell_angle_alpha 122.78
_cell_angle_beta 90.00
_cell_angle_gamma 90.00
_space_group_name_H-M_alt 'P 1'
_space_group_IT_number 1
loop_
_space_group_symop_operation_xyz
'x,y,z'
loop_
_atom_site_label
_atom_site_fract_x
_atom_site_fract_y
_atom_site_fract_z
_atom_site_occupancy
Nd1 0.315 0.500 0.000 1
Nd2 0.315 0.000 0.500 1
Nd3 0.177 0.500 0.500 1
Nd4 0.000 0.000 0.000 1
Nd5 0.685 0.500 0.000 1
Nd6 0.823 0.500 0.500 1
Nd7 0.685 0.000 0.500 1
Ho1 0.000 0.731 0.269 1
Ho2 0.000 0.269 0.731 1
La1 0.500 0.249 0.249 1
La2 0.500 0.751 0.751 1
```

Output
Relative energy among the computed polymorphs ... 106 meV per atom
Space group ... Cmmm
Magnetization ... 0.043 μB/f.u.

Record 6
A relaxed La5Nd2Ho4 crystal. Source: the Alexandria database, functional PBE.

Geometry as CIF:
```
data_La5Nd2Ho4
_chemical_formula_sum 'La5 Nd2 Ho4'
_cell_length_a 3.575
_cell_length_b 9.332
_cell_length_c 12.897
_cell_angle_alpha 111.21
_cell_angle_beta 97.97
_cell_angle_gamma 90.00
_space_group_name_H-M_alt 'P 1'
_space_group_IT_number 1
loop_
_space_group_symop_operation_xyz
'x,y,z'
loop_
_atom_site_label
_atom_site_fract_x
_atom_site_fract_y
_atom_site_fract_z
_atom_site_occupancy
Nd1 0.268 0.268 0.536 1
Nd2 0.732 0.732 0.464 1
La1 0.145 0.945 0.289 1
La2 0.855 0.655 0.711 1
La3 0.855 0.055 0.711 1
La4 0.145 0.345 0.289 1
La5 0.500 0.000 0.000 1
Ho1 0.000 0.317 0.000 1
Ho2 0.000 0.683 0.000 1
Ho3 0.596 0.596 0.192 1
Ho4 0.404 0.404 0.808 1
```

Output
Relative energy among the computed polymorphs ... 85 meV per atom
Space group ... Immm
Magnetization ... 0.001 μB/f.u.

Record 7
A relaxed La6Nd2Ho5 crystal. Source: the Alexandria database, functional PBE.

Geometry as CIF:
```
data_La6Nd2Ho5
_chemical_formula_sum 'La12 Nd4 Ho10'
_cell_length_a 3.657
_cell_length_b 12.023
_cell_length_c 20.730
_cell_angle_alpha 90.00
_cell_angle_beta 90.00
_cell_angle_gamma 90.00
_space_group_name_H-M_alt 'P 1'
_space_group_IT_number 1
loop_
_space_group_symop_operation_xyz
'x,y,z'
loop_
_atom_site_label
_atom_site_fract_x
_atom_site_fract_y
_atom_site_fract_z
_atom_site_occupancy
Nd1 0.000 0.666 0.716 1
Nd2 0.000 0.834 0.216 1
Nd3 0.000 0.334 0.284 1
Nd4 0.000 0.166 0.784 1
Ho1 0.500 0.000 0.500 1
Ho2 0.500 0.209 0.943 1
Ho3 0.500 0.906 0.778 1
Ho4 0.500 0.594 0.278 1
Ho5 0.500 0.709 0.557 1
Ho6 0.500 0.291 0.443 1
Ho7 0.500 0.791 0.057 1
Ho8 0.500 0.094 0.222 1
Ho9 0.500 0.500 0.000 1
Ho10 0.500 0.406 0.722 1
La1 0.000 0.045 0.078 1
La2 0.000 0.927 0.637 1
La3 0.000 0.073 0.363 1
La4 0.500 0.816 0.376 1
La5 0.500 0.316 0.124 1
La6 0.500 0.684 0.876 1
La7 0.000 0.427 0.863 1
La8 0.000 0.545 0.422 1
La9 0.500 0.184 0.624 1
La10 0.000 0.573 0.137 1
La11 0.000 0.455 0.578 1
La12 0.000 0.955 0.922 1
```

Output
Space group ... Pbam
Magnetization ... 0.000 μB/f.u.

Record 8
A relaxed La6Nd5Ho crystal. Source: the Alexandria database, functional PBE.

Geometry as CIF:
```
data_La6Nd5Ho
_chemical_formula_sum 'La6 Nd5 Ho1'
_cell_length_a 5.258
_cell_length_b 11.610
_cell_length_c 9.782
_cell_angle_alpha 53.60
_cell_angle_beta 74.40
_cell_angle_gamma 63.06
_space_group_name_H-M_alt 'P 1'
_space_group_IT_number 1
loop_
_space_group_symop_operation_xyz
'x,y,z'
loop_
_atom_site_label
_atom_site_fract_x
_atom_site_fract_y
_atom_site_fract_z
_atom_site_occupancy
Nd1 0.500 0.166 0.668 1
Nd2 0.500 0.834 0.332 1
Nd3 0.500 0.500 0.000 1
Nd4 0.000 0.333 0.334 1
Nd5 0.000 0.667 0.666 1
Ho1 0.000 0.000 0.000 1
La1 0.752 0.414 0.668 1
La2 0.252 0.248 0.000 1
La3 0.752 0.083 0.332 1
La4 0.748 0.752 0.000 1
La5 0.248 0.917 0.668 1
La6 0.248 0.586 0.332 1
```

Output
Relative energy among the computed polymorphs ... 0 meV per atom
Space group ... Immm
Magnetization ... 0.000 μB/f.u.

Record 9
A relaxed La6Nd5Ho crystal. Source: the Alexandria database, functional PBE.

Geometry as CIF:
```
data_La6Nd5Ho
_chemical_formula_sum 'La6 Nd5 Ho1'
_cell_length_a 6.383
_cell_length_b 7.421
_cell_length_c 9.792
_cell_angle_alpha 67.72
_cell_angle_beta 89.39
_cell_angle_gamma 89.91
_space_group_name_H-M_alt 'P 1'
_space_group_IT_number 1
loop_
_space_group_symop_operation_xyz
'x,y,z'
loop_
_atom_site_label
_atom_site_fract_x
_atom_site_fract_y
_atom_site_fract_z
_atom_site_occupancy
La1 0.500 0.248 0.000 1
La2 0.500 0.752 0.000 1
La3 0.165 0.415 0.668 1
La4 0.165 0.917 0.668 1
La5 0.835 0.585 0.332 1
La6 0.835 0.083 0.332 1
Nd1 0.335 0.333 0.333 1
Nd2 0.665 0.667 0.667 1
Nd3 0.667 0.166 0.668 1
Nd4 0.000 0.500 0.000 1
Nd5 0.333 0.834 0.332 1
Ho1 0.000 0.000 0.000 1
```

Output
Relative energy among the computed polymorphs ... 2 meV per atom
Space group ... P-1
Magnetization ... 0.000 μB/f.u.

Record 10
A relaxed La12Nd7Ho crystal. Source: the Alexandria database, functional PBE.

Geometry as CIF:
```
data_La12Nd7Ho
_chemical_formula_sum 'La12 Nd7 Ho1'
_cell_length_a 8.965
_cell_length_b 8.965
_cell_length_c 8.965
_cell_angle_alpha 89.61
_cell_angle_beta 89.61
_cell_angle_gamma 89.61
_space_group_name_H-M_alt 'P 1'
_space_group_IT_number 1
loop_
_space_group_symop_operation_xyz
'x,y,z'
loop_
_atom_site_label
_atom_site_fract_x
_atom_site_fract_y
_atom_site_fract_z
_atom_site_occupancy
La1 0.721 0.855 0.255 1
La2 0.397 0.856 0.516 1
La3 0.144 0.484 0.603 1
La4 0.745 0.279 0.145 1
La5 0.516 0.397 0.856 1
La6 0.856 0.516 0.397 1
La7 0.145 0.745 0.279 1
La8 0.855 0.255 0.721 1
La9 0.279 0.145 0.745 1
La10 0.255 0.721 0.855 1
La11 0.484 0.603 0.144 1
La12 0.603 0.144 0.484 1
Nd1 0.500 0.500 0.500 1
Nd2 0.617 0.928 0.862 1
Nd3 0.928 0.862 0.617 1
Nd4 0.383 0.072 0.138 1
Nd5 0.138 0.383 0.072 1
Nd6 0.072 0.138 0.383 1
Nd7 0.862 0.617 0.928 1
Ho1 0.000 0.000 0.000 1
```

Output
Relative energy among the computed polymorphs ... 6 meV per atom
Space group ... R-3
Magnetization ... 0.000 μB/f.u.

Number 1: energy relative to the elements 0.295 eV per atom. Number 2: energy relative to the elements 0.019 eV per atom. Number 3: energy relative to the elements 0.093 eV per atom. Number 4: energy relative to the elements 0.037 eV per atom. Number 5: energy relative to the elements 0.315 eV per atom. Number 6: energy relative to the elements 0.158 eV per atom. Number 7: energy relative to the elements 0.111 eV per atom. Number 8: energy relative to the elements 0.013 eV per atom. Number 9: energy relative to the elements 0.015 eV per atom. Number 10: energy relative to the elements 0.177 eV per atom.